A plane-wave DFT calculation with PBE was carried out for HoInNi after structural relaxation.

Results
VASP energy = -4.709 eV per atom

abc: 4.5933 4.5933 6.7131
angles: 90.00 90.00 120.00
With the nearest neighbours (Å) after each atom.
Fractional positions:
Ho 0.0000 0.0000 0.0000  6 Ni 3.12-3.16, 6 In 3.14, 2 Ho 3.36
Ho 0.0000 0.0000 0.5000  6 Ni 3.12-3.16, 6 In 3.14, 2 Ho 3.36
In 0.3333 0.6667 0.2491  3 Ni 2.65
In 0.6667 0.3333 0.7491  3 Ni 2.65
Ni 0.3333 0.6667 0.7549  3 In 2.65
Ni 0.6667 0.3333 0.2549  3 In 2.65